No. 1
Entry from Alexandria: an optimized crystal structure of Sc4CdAu2 (GGA-PBE).

Lattice parameters (Å, degrees): 4.599 4.599 9.615 76.16 76.16 60.00
Sites, in units of the cell vectors:
1 Sc 0.390 0.390 0.831
2 Sc 0.201 0.201 0.396
3 Sc 0.799 0.799 0.604
4 Sc 0.610 0.610 0.169
5 Cd 0.000 0.000 0.000
6 Au 0.101 0.101 0.697
7 Au 0.899 0.899 0.303

Results
ρ = 6.7 Mg/m³
DFT formation energy = -0.33 eV/atom
E_tot = -0.1841 Ha/atom
ΔE to the lowest computed polymorph = 162 meV per atom

---

No. 2
Entry from Alexandria: an optimized crystal structure of Sc5Cd4Au (GGA-PBE).

Lattice parameters (Å, degrees): 3.504 3.504 17.595 90.00 90.00 90.00
Sites, in units of the cell vectors:
1 Sc 0.500 0.500 0.092
2 Sc 0.500 0.500 0.296
3 Sc 0.500 0.500 0.500
4 Sc 0.500 0.500 0.704
5 Sc 0.500 0.500 0.908
6 Cd 0.000 0.000 0.196
7 Cd 0.000 0.000 0.398
8 Cd 0.000 0.000 0.602
9 Cd 0.000 0.000 0.804
10 Au 0.000 0.000 0.000

Results
ρ = 6.7 Mg/m³
DFT formation energy = -0.40 eV/atom
E_tot = -0.1564 Ha/atom

---

No. 3
Entry from Alexandria: an optimized crystal structure of ScCd2Au (GGA-PBE).

Lattice parameters (Å, degrees): 8.057 8.057 6.366 50.74 50.74 90.00
Sites, in units of the cell vectors:
1 Sc 0.500 0.500 0.000
2 Sc 0.250 0.750 0.500
3 Au 0.000 0.000 0.000
4 Au 0.750 0.250 0.500
5 Cd 0.651 0.125 0.250
6 Cd 0.099 0.625 0.250
7 Cd 0.375 0.349 0.750
8 Cd 0.875 0.901 0.750

Results
ρ = 8.4 Mg/m³
DFT formation energy = -0.10 eV/atom
E_tot = -0.1089 Ha/atom

---

No. 4
Entry from Alexandria: an optimized crystal structure of Sc2CdAu3 (GGA-PBE).

Lattice parameters (Å, degrees): 3.410 3.410 10.164 90.00 90.00 90.00
Sites, in units of the cell vectors:
1 Sc 0.500 0.500 0.830
2 Sc 0.500 0.500 0.170
3 Cd 0.500 0.500 0.500
4 Au 0.000 0.000 0.000
5 Au 0.000 0.000 0.678
6 Au 0.000 0.000 0.322

Results
ρ = 11.1 Mg/m³
DFT formation energy = -0.66 eV/atom
E_tot = -0.1678 Ha/atom
ΔE to the lowest computed polymorph = 14 meV per atom

---

No. 5
Entry from Alexandria: an optimized crystal structure of Sc3Cd2Au (GGA-PBE).

Lattice parameters (Å, degrees): 4.925 4.925 6.053 90.00 90.00 120.00
Sites, in units of the cell vectors:
1 Sc 0.000 0.000 0.500
2 Sc 0.667 0.333 0.850
3 Sc 0.333 0.667 0.150
4 Cd 0.667 0.333 0.351
5 Cd 0.333 0.667 0.649
6 Au 0.000 0.000 0.000

Results
ρ = 7.3 Mg/m³
DFT formation energy = -0.46 eV/atom
E_tot = -0.1645 Ha/atom
ΔE to the lowest computed polymorph = 9 meV per atom

---

No. 6
Entry from Alexandria: an optimized crystal structure of ScCd2Au (GGA-PBE).

Lattice parameters (Å, degrees): 4.930 3.213 5.389 82.12 90.00 90.00
Sites, in units of the cell vectors:
1 Au 0.500 0.750 0.750
2 Cd 0.000 0.895 0.993
3 Cd 0.000 0.605 0.507
4 Sc 0.500 0.250 0.250

Results
ρ = 9.2 Mg/m³
DFT formation energy = -0.27 eV/atom
E_tot = -0.1150 Ha/atom

---

No. 7
Entry from Alexandria: an optimized crystal structure of Sc2Cd2Au (GGA-PBE).

Lattice parameters (Å, degrees): 3.829 3.829 8.532 77.03 77.03 90.00
Sites, in units of the cell vectors:
1 Sc 0.410 0.410 0.180
2 Sc 0.590 0.590 0.820
3 Au 0.000 0.000 0.000
4 Cd 0.750 0.250 0.500
5 Cd 0.250 0.750 0.500

Results
ρ = 7.2 Mg/m³
DFT formation energy = -0.05 eV/atom
E_tot = -0.1326 Ha/atom
ΔE to the lowest computed polymorph = 322 meV per atom

---

No. 8
Entry from Alexandria: an optimized crystal structure of ScCd3Au4 (GGA-PBE).

Lattice parameters (Å, degrees): 4.821 4.821 7.517 108.64 108.64 90.36
Sites, in units of the cell vectors:
1 Sc 0.500 0.000 0.000
2 Au 0.378 0.377 0.756
3 Au 0.622 0.623 0.244
4 Au 0.123 0.122 0.244
5 Au 0.877 0.878 0.756
6 Cd 0.000 0.500 0.000
7 Cd 0.751 0.251 0.500
8 Cd 0.249 0.749 0.500

Results
ρ = 12.5 Mg/m³
DFT formation energy = -0.39 eV/atom
E_tot = -0.1163 Ha/atom